Here is a relaxed YHIO2 crystal from Alexandria. Energies are from GGA-PBE.

extended XYZ file:
```
5
Lattice="-3.838 1.264 -1.176 1.038 -0.601 -4.034 -2.233 -6.424 0.382" Properties=species:S:1:pos:R:3 pbc="T T T"
O 0.519 -0.300 -2.017
H -2.516 -2.880 -2.414
Y 0.000 0.000 0.000
O -1.919 0.632 -0.588
I -1.117 -3.212 0.191
```

## Properties
The value obtained for the density of states at the Fermi level is 2.7 states/eV/cell. The calculation puts the distance to the lowest polymorph of the same formula at 0.0 meV per atom. Its total magnetization is 0.008 μB per atom. Its volume is 120.6 Å³/cell. The calculation puts the uncorrected energy at -4.9372 eV/atom.